A relaxed structure of Tb5Nd4Ho. Source: Alexandria via LeMat-Bulk, functional PBE.

Geometry as CIF:
```
data_Tb5Nd4Ho
_symmetry_space_group_name_H-M 'C 1 2/m 1'
_symmetry_Int_Tables_number 12
_cell_length_a 18.128
_cell_length_b 3.597
_cell_length_c 10.903
_cell_angle_alpha 90.00
_cell_angle_beta 102.48
_cell_angle_gamma 90.00
loop_
_symmetry_equiv_pos_as_xyz
'x,y,z'
'-x,-y,-z'
'-x,y,-z'
'x,-y,z'
'x+1/2,y+1/2,z'
'-x+1/2,-y+1/2,-z'
'-x+1/2,y+1/2,-z'
'x+1/2,-y+1/2,z'
loop_
_atom_site_label
_atom_site_type_symbol
_atom_site_fract_x
_atom_site_fract_y
_atom_site_fract_z
Tb1 Tb 0.000 0.000 0.000
Tb2 Tb 0.162 0.500 0.416
Tb3 Tb 0.168 0.500 0.026
Nd1 Nd 0.022 0.500 0.761
Nd2 Nd 0.177 0.000 0.724
Ho1 Ho 0.000 0.000 0.500
```

A relaxed structure of Tb4Nd4Ho3. Source: Alexandria via LeMat-Bulk, functional PBE.

Geometry as CIF:
```
data_Tb4Nd4Ho3
_symmetry_space_group_name_H-M 'P -1'
_symmetry_Int_Tables_number 2
_cell_length_a 3.541
_cell_length_b 5.686
_cell_length_c 18.206
_cell_angle_alpha 98.96
_cell_angle_beta 95.57
_cell_angle_gamma 90.01
loop_
_symmetry_equiv_pos_as_xyz
'x,y,z'
'-x,-y,-z'
loop_
_atom_site_label
_atom_site_type_symbol
_atom_site_fract_x
_atom_site_fract_y
_atom_site_fract_z
Tb1 Tb 0.045 0.046 0.091
Tb2 Tb 0.180 0.681 0.361
Nd1 Nd 0.090 0.591 0.181
Nd2 Nd 0.232 0.232 0.464
Ho1 Ho 0.365 0.864 0.729
Ho2 Ho 0.500 0.500 0.000
```

A relaxed structure of Tb4NdHo4. Source: Alexandria via LeMat-Bulk, functional PBE.

Geometry as CIF:
```
data_Tb4NdHo4
_symmetry_space_group_name_H-M 'P -1'
_symmetry_Int_Tables_number 2
_cell_length_a 6.779
_cell_length_b 8.649
_cell_length_c 10.623
_cell_angle_alpha 78.21
_cell_angle_beta 74.89
_cell_angle_gamma 76.44
loop_
_symmetry_equiv_pos_as_xyz
'x,y,z'
'-x,-y,-z'
loop_
_atom_site_label
_atom_site_type_symbol
_atom_site_fract_x
_atom_site_fract_y
_atom_site_fract_z
Tb1 Tb 0.086 0.164 0.461
Tb2 Tb 0.383 0.833 0.630
Tb3 Tb 0.387 0.837 0.962
Tb4 Tb 0.390 0.836 0.296
Nd1 Nd 0.241 0.472 0.215
Ho1 Ho 0.082 0.167 0.792
Ho2 Ho 0.085 0.163 0.124
Ho3 Ho 0.244 0.479 0.546
Ho4 Ho 0.244 0.479 0.880
```

A relaxed structure of Tb2Nd7Ho2. Source: Alexandria via LeMat-Bulk, functional PBE.

Geometry as CIF:
```
data_Tb2Nd7Ho2
_symmetry_space_group_name_H-M 'C m m m'
_symmetry_Int_Tables_number 65
_symmetry_space_group_name_Hall '-C 2 2'
_cell_length_a 6.688
_cell_length_b 12.145
_cell_length_c 9.655
_cell_angle_alpha 90.00
_cell_angle_beta 90.00
_cell_angle_gamma 90.00
loop_
_atom_site_label
_atom_site_type_symbol
_atom_site_fract_x
_atom_site_fract_y
_atom_site_fract_z
Tb1 Tb 0.000 0.232 0.000
Nd1 Nd 0.000 0.000 0.180
Nd2 Nd 0.000 0.500 0.000
Nd3 Nd 0.250 0.250 0.317
Ho1 Ho 0.249 0.000 0.500
```

| no. | spin magnetization (μB per formula unit) | electronic total energy (eV/atom) |
| --- | --- | --- |
| 1 | 0.0 | -4.457 |
| 2 | 0.0 | -4.606 |
| 3 | 0.0 | -4.585 |
| 4 | 0.0 | -4.376 |